Al2CdFeRu: optimized geometry, GGA-PBE.

Summary:
Electronic total energy ... -4.7695 eV/atom
Formation enthalpy at 0 K ... 458 meV per atom
DOS at the Fermi energy ... 3.6 states/eV/cell

```
5
Lattice="4.459 0.000 0.000 0.000 4.480 0.000 0.000 0.000 4.459" Properties=species:S:1:pos:R:3 pbc="T T T"
Ru 0.000 2.240 0.000
Al 0.000 0.000 2.230
Al 2.230 0.000 0.000
Fe 0.000 0.000 0.000
Cd 2.230 2.240 2.230
```

---

CuRh2O4: optimized geometry, GGA-PBE.

Summary:
Electronic total energy ... -6.1700 eV/atom
DOS at the Fermi energy ... 18.6 states/eV/cell
Formation energy from raw total energies ... -651 meV/atom

```
14
Lattice="-2.552 -5.513 -0.441 3.352 -1.891 4.721 -3.528 4.932 0.573" Properties=species:S:1:pos:R:3 pbc="T T T"
Cu -2.840 -2.142 1.136
Cu 0.000 0.000 0.000
Rh -3.184 1.395 0.855
Rh -1.019 -4.773 2.708
Rh -1.508 0.450 3.215
Rh 0.256 -2.016 2.929
O -2.996 -0.312 2.002
O 1.586 -1.049 4.179
O -1.177 -1.313 4.239
O 0.453 -3.862 3.835
O -0.020 1.212 4.428
O -1.073 -2.983 1.678
O -1.838 2.213 2.191
O 0.060 -0.170 2.022
```

---

LaFeCl2: optimized geometry, GGA-PBE.

Summary:
Electronic total energy ... -5.1179 eV/atom
DOS at the Fermi energy ... 3.4 states/eV/cell
Energy above the most stable polymorph in this dataset ... 78 meV per atom
Formation energy from raw total energies ... -847 meV/atom

```
4
Lattice="-1.568 -2.709 1.612 -0.396 -1.618 -3.102 7.081 -3.537 0.943" Properties=species:S:1:pos:R:3 pbc="T T T"
Cl 6.723 -3.358 0.895
Cl 1.533 -3.419 -0.410
Fe 3.331 -1.664 0.443
La 4.154 -4.729 -0.061
```

---

MnTeBr6: optimized geometry, GGA-PBE.

Summary:
Electronic total energy ... -3.2503 eV/atom
Formation energy from raw total energies ... -457 meV/atom

```
8
Lattice="-6.114 -2.506 -4.234 4.104 -3.904 3.651 -2.952 3.967 5.555" Properties=species:S:1:pos:R:3 pbc="T T T"
Mn 0.000 0.000 0.000
Te -3.057 -1.253 -2.117
Br -5.756 -1.689 -1.733
Br -2.377 -2.055 4.510
Br -2.586 -0.387 0.462
Br 0.793 -0.754 6.705
Br 0.526 -2.595 0.771
Br -2.536 -3.814 -1.354
```